Entry from Alexandria via LeMat-Bulk: a relaxed structure of Th2RuSe (PBE).

Cell and atoms, written as extended XYZ:
```
4
Lattice="2.046 1.181 7.384 -2.046 1.181 7.384 0.000 -2.362 7.384" Properties=species:S:1:pos:R:3 pbc="T T T"
Th 0.000 0.000 5.268
Th 0.000 0.000 16.883
Ru 0.000 0.000 11.076
Se 0.000 0.000 0.000
```

Output
Its polymorph energy (0 for the lowest one) is 0 meV/atom. The total energy is -31.9 eV for the cell shown. The calculation puts the density of states at the Fermi level at 1.64 states/eV/f.u. The value obtained for the magnetic moment is 0.000 μB/atom.



Entry from Alexandria via LeMat-Bulk: a relaxed structure of La2InSe (PBE).

Cell and atoms, written as extended XYZ:
```
4
Lattice="4.480 0.000 0.000 0.000 4.480 0.000 0.000 0.000 6.373" Properties=species:S:1:pos:R:3 pbc="T T T"
La 0.000 0.000 0.000
La 2.240 2.240 3.186
In 0.000 0.000 3.186
Se 2.240 2.240 0.000
```

Output
Its polymorph energy (0 for the lowest one) is 55 meV/atom. The total energy is -20.5 eV for the cell shown. The calculation puts the density of states at the Fermi level at 4.34 states/eV/f.u. The value obtained for the magnetic moment is 0.000 μB/atom.



Entry from Alexandria via LeMat-Bulk: a relaxed structure of Ta2BTe (PBE).

Cell and atoms, written as extended XYZ:
```
8
Lattice="-2.702 2.702 5.894 2.702 -2.702 5.894 2.702 2.702 -5.894" Properties=species:S:1:pos:R:3 pbc="T T T"
Ta 4.053 0.760 -1.474
Ta 0.760 1.351 1.474
Ta -1.351 1.942 4.421
Ta 1.942 1.351 7.368
B 0.000 0.000 0.000
B 0.000 2.702 2.947
Te 2.702 0.000 2.947
Te 0.000 0.000 5.894
```

Output
Its polymorph energy (0 for the lowest one) is 0 meV/atom. The total energy is -63.1 eV for the cell shown. The calculation puts the density of states at the Fermi level at 4.24 states/eV/f.u. The value obtained for the magnetic moment is 0.000 μB/atom.